# 1
First-principles (PBE) data for a relaxed structure of NdCuNi5, as listed in the Alexandria database.

The value obtained for the magnetization is 4.26 Bohr magnetons per cell. The value obtained for the total energy is -5.559 eV per atom. The value obtained for the density of states at the Fermi level is 1.31 states/eV/atom.

Unit cell a=7.8893 b=4.8949 c=9.9899 alpha=90.00 beta=90.00 gamma=90.00
Positions (direct):
Nd 0.2394 0.2500 0.0598
Nd 0.2606 0.7500 0.5598
Nd 0.7394 0.2500 0.4402
Nd 0.7606 0.7500 0.9402
Cu 0.1444 0.7500 0.8552
Cu 0.3556 0.2500 0.3552
Cu 0.6444 0.7500 0.6448
Cu 0.8556 0.2500 0.1448
Ni 0.0610 0.7500 0.1008
Ni 0.0669 0.0040 0.3108
Ni 0.0669 0.4960 0.3108
Ni 0.1013 0.2500 0.5183
Ni 0.1832 0.2500 0.7540
Ni 0.3168 0.7500 0.2540
Ni 0.3987 0.7500 0.0183
Ni 0.4331 0.5040 0.8108
Ni 0.4331 0.9960 0.8108
Ni 0.4390 0.2500 0.6008
Ni 0.5610 0.7500 0.3992
Ni 0.5669 0.0040 0.1892
Ni 0.5669 0.4960 0.1892
Ni 0.6013 0.2500 0.9817
Ni 0.6832 0.2500 0.7460
Ni 0.8168 0.7500 0.2460
Ni 0.8987 0.7500 0.4817
Ni 0.9331 0.5040 0.6892
Ni 0.9331 0.9960 0.6892
Ni 0.9390 0.2500 0.8992



# 2
First-principles (PBE) data for a relaxed structure of Nd2CuNi3, as listed in the Alexandria database.

The value obtained for the magnetization is 0.00 Bohr magnetons per cell. The value obtained for the total energy is -5.445 eV per atom. The value obtained for the density of states at the Fermi level is 0.84 states/eV/atom.

Unit cell a=8.2160 b=8.1194 c=5.6526 alpha=70.68 beta=68.84 gamma=40.48
Positions (direct):
Nd 0.2500 0.2500 0.2500
Nd 0.2505 0.7495 0.7495
Nd 0.7495 0.2505 0.2505
Nd 0.7500 0.7500 0.7500
Cu 0.1666 0.1666 0.8334
Cu 0.8334 0.8334 0.1666
Ni 0.1714 0.6641 0.3359
Ni 0.3349 0.3349 0.6651
Ni 0.3359 0.8286 0.1714
Ni 0.6641 0.1714 0.8286
Ni 0.6651 0.6651 0.3349
Ni 0.8286 0.3359 0.6641



# 3
First-principles (PBE) data for a relaxed structure of Nd5CuNi2, as listed in the Alexandria database.

The value obtained for the magnetization is 0.00 Bohr magnetons per cell. The value obtained for the total energy is -5.103 eV per atom. The value obtained for the density of states at the Fermi level is 1.11 states/eV/atom.

Unit cell a=8.5784 b=8.5784 c=8.5784 alpha=125.21 beta=125.21 gamma=81.18
Positions (direct):
Nd 0.0000 0.0000 0.0000
Nd 0.0239 0.5239 0.8281
Nd 0.1958 0.0239 0.5000
Nd 0.3042 0.8042 0.8281
Nd 0.4761 0.3042 0.5000
Nd 0.5000 0.5000 0.0000
Nd 0.5239 0.6958 0.5000
Nd 0.6958 0.1958 0.1719
Nd 0.8042 0.9761 0.5000
Nd 0.9761 0.4761 0.1719
Cu 0.2500 0.2500 0.0000
Cu 0.7500 0.7500 0.0000
Ni 0.1187 0.3813 0.5000
Ni 0.3813 0.8813 0.2625
Ni 0.6187 0.1187 0.7375
Ni 0.8813 0.6187 0.5000